No. 1
ScTlCdIn | PBE-GGA | optimized geometry

Results
Energy above the most stable polymorph in this dataset = 165.5 meV/atom
Formation energy = -0.045 eV/atom

abc: 7.274 7.274 7.274
angles: 90.00 90.00 90.00
Space group F-43m (No. 216)
Asymmetric unit:
Sc: 0.000 0.000 0.000 [4 per cell]
Tl: 0.250 0.250 0.750 [4 per cell]
Cd: 0.000 0.000 0.500 [4 per cell]
In: 0.250 0.250 0.250 [4 per cell]


No. 2
HfCoTe2N | PBE-GGA | optimized geometry

Results
Energy above the most stable polymorph in this dataset = 322.3 meV/atom
Formation energy (no corrections) = 0.510 eV per atom

abc: 5.695 5.695 3.933
angles: 90.00 90.00 90.00
Space group P4/mmm (No. 123)
Asymmetric unit:
Hf: 0.000 0.000 0.000 [1 per cell]
Co: 0.500 0.500 0.500 [1 per cell]
Te: 0.000 0.500 0.000 [2 per cell]
N: 0.000 0.000 0.500 [1 per cell]


No. 3
Hf2V2Bi | PBE-GGA | optimized geometry

Results
Energy above the most stable polymorph in this dataset = 213.7 meV/atom
Formation energy = 0.320 eV/atom

abc: 3.461 3.461 17.636
angles: 90.00 90.00 90.00
Space group I4/mmm (No. 139)
Asymmetric unit:
Hf: 0.000 0.000 0.122 [4 per cell]
V: 0.000 0.500 0.250 [4 per cell]
Bi: 0.000 0.000 0.500 [2 per cell]


No. 4
Ti4CoAu2 | PBE-GGA | optimized geometry

Results
Formation energy = 0.056 eV/atom

abc: 4.410 4.410 13.351
angles: 90.00 90.00 90.00
Space group I4/mmm (No. 139)
Asymmetric unit:
Ti: 0.000 0.000 0.177 [4 per cell]
Ti: 0.000 0.500 0.000 [4 per cell]
Co: 0.000 0.000 0.000 [2 per cell]
Au: 0.000 0.000 0.371 [4 per cell]


No. 5
AlTcGe2 | PBE-GGA | optimized geometry

Results
Energy above the most stable polymorph in this dataset = 0.0 meV/atom
Formation energy = -0.006 eV/atom

abc: 3.0082 3.0082 26.7686
angles: 90.00 90.00 120.00
Space group R-3m (No. 166, hexagonal axes)
Asymmetric unit:
Al: 0.0000 0.0000 0.0000 [3 per cell]
Tc: 0.0000 0.0000 0.5000 [3 per cell]
Ge: 0.0000 0.0000 0.0966 [6 per cell]


No. 6
ScAg | PBE-GGA | optimized geometry

Results
Formation energy = 0.149 eV/atom

abc: 4.8675 4.8675 8.0497
angles: 90.00 90.00 120.00
Space group P6_3/mmc (No. 194)
Asymmetric unit:
Sc: 0.0000 0.0000 0.2500 [2 per cell]
Sc: 0.3333 0.6667 0.2500 [2 per cell]
Ag: 0.3333 0.6667 0.5812 [4 per cell]